Model one:
A plane-wave DFT calculation with PBE was carried out for a relaxed structure of CsCdHg2Au.

Values from the calculation:
M_tot (μB per formula unit): 0.0
DOS at the Fermi energy (states/eV per cell): 2.16

Cell lengths 5.537, 5.537, 6.668 Å; angles 90.00, 90.00, 90.00 degrees
Fractional positions:
Cs 0.000 0.000 0.000
Cd 0.500 0.500 0.000
Hg 0.000 0.500 0.500
Hg 0.500 0.000 0.500
Au 0.000 0.000 0.500

---

Model two:
A plane-wave DFT calculation with PBE was carried out for a relaxed structure of CsCdHg2Au.

Values from the calculation:
M_tot (μB per formula unit): 0.0
DOS at the Fermi energy (states/eV per cell): 1.28

Cell lengths 6.980, 6.980, 6.980 Å; angles 136.50, 135.96, 63.62 degrees
Fractional positions:
Cs 0.000 0.000 0.000
Cd 0.255 0.755 0.500
Hg 0.605 0.605 0.000
Hg 0.754 0.254 0.500
Au 0.361 0.361 0.000

---

Model three:
A plane-wave DFT calculation with PBE was carried out for a relaxed structure of CsCdHg2Au.

Values from the calculation:
M_tot (μB per formula unit): 0.0
DOS at the Fermi energy (states/eV per cell): 1.58

Cell lengths 5.814, 5.814, 5.478 Å; angles 90.00, 90.00, 90.00 degrees
Fractional positions:
Cs 0.000 0.000 0.000
Cd 0.500 0.500 0.500
Hg 0.000 0.500 0.500
Hg 0.500 0.000 0.500
Au 0.500 0.500 0.000

---

Model four:
A plane-wave DFT calculation with PBE was carried out for a relaxed structure of CsCdHg2Au.

Values from the calculation:
M_tot (μB per formula unit): 0.0
DOS at the Fermi energy (states/eV per cell): 2.69

Cell lengths 5.588, 5.588, 5.454 Å; angles 90.00, 90.00, 90.00 degrees
Fractional positions:
Cs 0.000 0.000 0.000
Cd 0.500 0.500 0.000
Hg 0.000 0.500 0.500
Hg 0.500 0.000 0.500
Au 0.500 0.500 0.500

---

Which is most stable? The ranking, best first, is model two, model four, model three, model one.

---

Model one:
A plane-wave DFT calculation with PBE was carried out for a relaxed structure of CsCd2InAu.

Values from the calculation:
M_tot (μB per formula unit): 0.0
DOS at the Fermi energy (states/eV per cell): 2.47

Cell lengths 7.108, 7.108, 7.108 Å; angles 139.62, 137.53, 60.04 degrees
Fractional positions:
Cs 0.000 0.000 0.000
Cd 0.611 0.611 0.000
Cd 0.759 0.259 0.500
In 0.257 0.757 0.500
Au 0.376 0.376 0.000

---

Model two:
A plane-wave DFT calculation with PBE was carried out for a relaxed structure of CsCd2InAu.

Values from the calculation:
M_tot (μB per formula unit): 0.0
DOS at the Fermi energy (states/eV per cell): 1.55

Cell lengths 5.738, 5.738, 5.529 Å; angles 90.00, 90.00, 90.00 degrees
Fractional positions:
Cs 0.000 0.000 0.000
Cd 0.000 0.500 0.500
Cd 0.500 0.000 0.500
In 0.500 0.500 0.500
Au 0.500 0.500 0.000

---

Which is most stable? The ranking, best first, is model one, model two.

---

Model one:
A plane-wave DFT calculation with PBE was carried out for a relaxed structure of CsK2CdAu.

Values from the calculation:
M_tot (μB per formula unit): 0.0
DOS at the Fermi energy (states/eV per cell): 3.03

Cell lengths 6.535, 6.535, 5.581 Å; angles 90.00, 90.00, 90.00 degrees
Fractional positions:
Cs 0.000 0.000 0.000
K 0.000 0.500 0.500
K 0.500 0.000 0.500
Cd 0.500 0.500 0.000
Au 0.500 0.500 0.500

---

Model two:
A plane-wave DFT calculation with PBE was carried out for a relaxed structure of CsK2CdAu.

Values from the calculation:
M_tot (μB per formula unit): 0.0
DOS at the Fermi energy (states/eV per cell): 2.84

Cell lengths 6.689, 6.689, 5.505 Å; angles 90.00, 90.00, 90.00 degrees
Fractional positions:
Cs 0.000 0.000 0.000
K 0.000 0.500 0.500
K 0.500 0.000 0.500
Cd 0.500 0.500 0.500
Au 0.500 0.500 0.000

---

Which is most stable? The ranking, best first, is model one, model two.

---

Model one:
A plane-wave DFT calculation with PBE was carried out for a relaxed structure of CsNaCdAu2.

Values from the calculation:
M_tot (μB per formula unit): 0.0
DOS at the Fermi energy (states/eV per cell): 1.78

Cell lengths 5.524, 5.524, 5.496 Å; angles 90.00, 90.00, 90.00 degrees
Fractional positions:
Cs 0.000 0.000 0.000
Na 0.500 0.500 0.000
Cd 0.500 0.500 0.500
Au 0.000 0.500 0.500
Au 0.500 0.000 0.500

---

Model two:
A plane-wave DFT calculation with PBE was carried out for a relaxed structure of CsNaCdAu2.

Values from the calculation:
M_tot (μB per formula unit): 0.0
DOS at the Fermi energy (states/eV per cell): 1.83

Cell lengths 7.100, 7.100, 7.100 Å; angles 139.60, 139.60, 58.45 degrees
Fractional positions:
Cs 0.000 0.000 0.000
Na 0.750 0.250 0.500
Cd 0.250 0.750 0.500
Au 0.386 0.386 0.000
Au 0.614 0.614 0.000

---

Which is most stable? The ranking, best first, is model two, model one.

---

Model one:
A plane-wave DFT calculation with PBE was carried out for a relaxed structure of CsNaCd2Au.

Values from the calculation:
M_tot (μB per formula unit): 0.0
DOS at the Fermi energy (states/eV per cell): 2.32

Cell lengths 5.480, 5.480, 5.805 Å; angles 90.00, 90.00, 90.00 degrees
Fractional positions:
Cs 0.000 0.000 0.000
Na 0.500 0.500 0.000
Cd 0.000 0.500 0.500
Cd 0.500 0.000 0.500
Au 0.500 0.500 0.500

---

Model two:
A plane-wave DFT calculation with PBE was carried out for a relaxed structure of CsNaCd2Au.

Values from the calculation:
M_tot (μB per formula unit): 0.0
DOS at the Fermi energy (states/eV per cell): 2.29

Cell lengths 5.479, 5.479, 6.575 Å; angles 90.00, 90.00, 90.00 degrees
Fractional positions:
Cs 0.000 0.000 0.000
Na 0.500 0.500 0.000
Cd 0.000 0.500 0.500
Cd 0.500 0.000 0.500
Au 0.000 0.000 0.500

---

Model three:
A plane-wave DFT calculation with PBE was carried out for a relaxed structure of CsNaCd2Au.

Values from the calculation:
M_tot (μB per formula unit): 0.0
DOS at the Fermi energy (states/eV per cell): 2.66

Cell lengths 7.296, 7.296, 7.296 Å; angles 140.89, 138.32, 58.48 degrees
Fractional positions:
Cs 0.000 0.000 0.000
Na 0.232 0.732 0.500
Cd 0.387 0.387 0.000
Cd 0.742 0.242 0.500
Au 0.611 0.611 0.000

---

Which is most stable? The ranking, best first, is model three, model one, model two.

---

Model one:
A plane-wave DFT calculation with PBE was carried out for a relaxed structure of Cs2NaCdAu.

Values from the calculation:
M_tot (μB per formula unit): 0.0
DOS at the Fermi energy (states/eV per cell): 4.65

Cell lengths 6.911, 6.911, 5.750 Å; angles 90.00, 90.00, 90.00 degrees
Fractional positions:
Cs 0.000 0.500 0.000
Cs 0.500 0.000 0.000
Na 0.000 0.000 0.500
Cd 0.500 0.500 0.500
Au 0.000 0.000 0.000

---

Model two:
A plane-wave DFT calculation with PBE was carried out for a relaxed structure of Cs2NaCdAu.

Values from the calculation:
M_tot (μB per formula unit): 0.0
DOS at the Fermi energy (states/eV per cell): 1.14

Cell lengths 6.998, 6.998, 5.479 Å; angles 90.00, 90.00, 90.00 degrees
Fractional positions:
Cs 0.000 0.500 0.000
Cs 0.500 0.000 0.000
Na 0.000 0.000 0.500
Cd 0.500 0.500 0.500
Au 0.500 0.500 0.000

---

Which is most stable? The ranking, best first, is model two, model one.